No. 1
# SmMgSc2Hg4

Crystalline SmMgSc2Hg4 at its relaxed geometry (GGA-PBE, Alexandria).

Calculated values
* calculated formation energy: -392 meV per atom
* size of the total moment: 0.00 μB/f.u.

Cell lengths 4.9777, 4.9777, 25.8828 Å; angles 90.00, 90.00, 120.00 degrees
Space group R-3m (No. 166, hexagonal axes)
Inequivalent atoms, fractional coordinates:
Sm  0.0000  0.0000  0.0000 [3 per cell]
Mg  0.0000  0.0000  0.5000 [3 per cell]
Sc  0.0000  0.0000  0.2432 [6 per cell]
Hg  0.0000  0.0000  0.1262 [6 per cell]
Hg  0.0000  0.0000  0.3837 [6 per cell]



No. 2
# SmMg2ScHg4

Crystalline SmMg2ScHg4 at its relaxed geometry (GGA-PBE, Alexandria).

Calculated values
* calculated formation energy: -425 meV per atom
* size of the total moment: 0.00 μB/f.u.

Cell lengths 5.0105, 5.0105, 24.8644 Å; angles 90.00, 90.00, 120.00 degrees
Space group R-3m (No. 166, hexagonal axes)
Inequivalent atoms, fractional coordinates:
Sm  0.0000  0.0000  0.0000 [3 per cell]
Mg  0.0000  0.0000  0.2488 [6 per cell]
Sc  0.0000  0.0000  0.5000 [3 per cell]
Hg  0.0000  0.0000  0.1288 [6 per cell]
Hg  0.0000  0.0000  0.3808 [6 per cell]



No. 3
# SmMgScHg

Crystalline SmMgScHg at its relaxed geometry (GGA-PBE, Alexandria).

Calculated values
* calculated formation energy: -254 meV per atom
* energy above the most stable polymorph in this dataset: 0.000 eV/atom
* size of the total moment: 0.00 μB/f.u.

Cell lengths 3.656, 3.656, 7.494 Å; angles 90.00, 90.00, 90.00 degrees
Space group P4mm (No. 99)
Inequivalent atoms, fractional coordinates:
Sm  0.000  0.000  0.000 [1 per cell]
Mg  0.500  0.500  0.720 [1 per cell]
Sc  0.000  0.000  0.490 [1 per cell]
Hg  0.500  0.500  0.281 [1 per cell]



No. 4
# SrMgScHg

Crystalline SrMgScHg at its relaxed geometry (GGA-PBE, Alexandria).

Calculated values
* calculated formation energy: -130 meV per atom
* size of the total moment: 0.00 μB/f.u.

Cell lengths 7.598, 7.598, 7.598 Å; angles 90.00, 90.00, 90.00 degrees
Space group F-43m (No. 216)
Inequivalent atoms, fractional coordinates:
Sr  0.000  0.000  0.000 [4 per cell]
Mg  0.250  0.250  0.250 [4 per cell]
Sc  0.000  0.000  0.500 [4 per cell]
Hg  0.250  0.250  0.750 [4 per cell]



No. 5
# SrMg2ScHg5

Crystalline SrMg2ScHg5 at its relaxed geometry (GGA-PBE, Alexandria).

Calculated values
* calculated formation energy: -145 meV per atom
* size of the total moment: 0.00 μB/f.u.

Cell lengths 5.341, 6.495, 15.027 Å; angles 90.00, 90.00, 90.00 degrees
Space group Immm (No. 71)
Inequivalent atoms, fractional coordinates:
Sr  0.000  0.000  0.000 [2 per cell]
Mg  0.000  0.500  0.181 [4 per cell]
Sc  0.000  0.000  0.500 [2 per cell]
Hg  0.000  0.265  0.343 [8 per cell]
Hg  0.000  0.500  0.000 [2 per cell]



No. 6
# Sr2Mg12ScHg3

Crystalline Sr2Mg12ScHg3 at its relaxed geometry (GGA-PBE, Alexandria).

Calculated values
* calculated formation energy: 87 meV per atom
* size of the total moment: 0.00 μB/f.u.

Cell lengths 10.7404, 10.7404, 14.4578 Å; angles 90.00, 90.00, 120.00 degrees
Space group R-3m (No. 166, hexagonal axes)
Inequivalent atoms, fractional coordinates:
Sr  0.0000  0.0000  0.1369 [6 per cell]
Mg  0.0122  0.5061  0.1932 [18 per cell]
Mg  0.0230  0.5115  0.3943 [18 per cell]
Sc  0.0000  0.0000  0.5000 [3 per cell]
Hg  0.0000  0.5000  0.0000 [9 per cell]



No. 7
# SrMg2ScHg4

Crystalline SrMg2ScHg4 at its relaxed geometry (GGA-PBE, Alexandria).

Calculated values
* calculated formation energy: -380 meV per atom
* size of the total moment: 0.00 μB/f.u.

Cell lengths 5.0009, 5.0009, 26.4311 Å; angles 90.00, 90.00, 120.00 degrees
Space group R-3m (No. 166, hexagonal axes)
Inequivalent atoms, fractional coordinates:
Sr  0.0000  0.0000  0.0000 [3 per cell]
Mg  0.0000  0.0000  0.2430 [6 per cell]
Sc  0.0000  0.0000  0.5000 [3 per cell]
Hg  0.0000  0.0000  0.1289 [6 per cell]
Hg  0.0000  0.0000  0.3877 [6 per cell]



No. 8
# Sr2MgScHg6

Crystalline Sr2MgScHg6 at its relaxed geometry (GGA-PBE, Alexandria).

Calculated values
* calculated formation energy: -263 meV per atom
* size of the total moment: 0.00 μB/f.u.

Cell lengths 7.030, 7.223, 7.569 Å; angles 98.50, 107.43, 119.12 degrees
Space group P-1 (No. 2)
Inequivalent atoms, fractional coordinates:
Sr  0.046  0.213  0.297 [2 per cell]
Mg  0.500  0.500  0.000 [1 per cell]
Sc  0.500  0.000  0.500 [1 per cell]
Hg  0.004  0.300  0.755 [2 per cell]
Hg  0.397  0.813  0.098 [2 per cell]
Hg  0.422  0.677  0.690 [2 per cell]